First-principles (GGA-PBEsol) data for BeTl2InMo after structural relaxation, as listed in Alexandria.

Values from the calculation:
The density of states at the Fermi level comes out at 3.3 states/eV/f.u. As for the formation energy from the elements: 393 kJ/mol of formula units. The calculated volume comes out at 102.1 Å³ per cell.

a = 4.748 Å, b = 4.748 Å, c = 4.530 Å
α = 90.00°, β = 90.00°, γ = 90.00°
Space group P4/mmm (No. 123)
Symmetry-distinct sites (fractional):
Be: 0.000 0.000 0.000
Tl: 0.000 0.500 0.000
In: 0.500 0.500 0.500
Mo: 0.000 0.000 0.500